Entry 1:
Tl2InPd2, optimized geometry, DFT GGA-PBE; polymorph energy (0 for the lowest one) = 164 meV per atom; crystal system = tetragonal; SG = I4/mmm (139); formation energy = 1.9 kJ per mole of atoms; calculated volume = 122.72 Å³/cell; D(E_F) = 2.03 states/eV/f.u.
1.0
-1.945 1.945 8.107
1.945 -1.945 8.107
1.945 1.945 -8.107
Tl In Pd
2 1 2
Direct
0.123 0.123 0.000
0.877 0.877 0.000
0.500 0.500 0.000
0.250 0.750 0.500
0.750 0.250 0.500



Entry 2:
Ac6Te3P2Pb, optimized geometry, DFT GGA-PBE; formation energy from raw total energies = -1376 meV/atom; crystal system = monoclinic; SG = C2/m (12); calculated volume = 432.67 Å³/cell; D(E_F) = 5.19 states/eV/f.u.
1.0
10.236 -2.317 0.000
10.236 2.317 0.000
-2.370 0.000 9.124
Ac Te P Pb
6 3 2 1
Direct
0.010 0.010 0.252
0.325 0.325 0.434
0.333 0.333 0.892
0.667 0.667 0.108
0.675 0.675 0.566
0.990 0.990 0.748
0.164 0.164 0.831
0.500 0.500 0.500
0.836 0.836 0.169
0.170 0.170 0.338
0.830 0.830 0.662
0.500 0.500 0.000



Entry 3:
V2ZnP2, optimized geometry, DFT GGA-PBE; polymorph energy (0 for the lowest one) = 0 meV per atom; crystal system = tetragonal; SG = P4/mbm (127); formation energy = -40.7 kJ per mole of atoms; calculated volume = 135.89 Å³/cell; D(E_F) = 2.13 states/eV/f.u.
1.0
6.662 0.000 0.000
0.000 6.662 0.000
0.000 0.000 3.062
V Zn P
4 2 4
Direct
0.143 0.357 0.000
0.357 0.857 0.000
0.643 0.143 0.000
0.857 0.643 0.000
0.000 0.000 0.000
0.500 0.500 0.000
0.147 0.647 0.500
0.353 0.147 0.500
0.647 0.853 0.500
0.853 0.353 0.500



Entry 4:
Tb3HoZn, optimized geometry, DFT GGA-PBE; polymorph energy (0 for the lowest one) = 0 meV per atom; crystal system = monoclinic; SG = C2/m (12); formation energy = -11.8 kJ per mole of atoms; calculated volume = 283.71 Å³/cell; D(E_F) = 5.37 states/eV/f.u.
1.0
14.519 -1.817 0.000
14.519 1.817 0.000
-0.013 0.000 5.378
Tb Ho Zn
6 2 2
Direct
0.045 0.045 0.245
0.124 0.124 0.748
0.341 0.341 0.751
0.659 0.659 0.249
0.876 0.876 0.252
0.955 0.955 0.755
0.268 0.268 0.250
0.732 0.732 0.750
0.460 0.460 0.259
0.540 0.540 0.741



Entry 5:
Te5Os4, optimized geometry, DFT GGA-PBE; polymorph energy (0 for the lowest one) = 0 meV per atom; formation energy from raw total energies = 909 meV/atom; crystal system = hexagonal; SG = P6_3/mcm (193); calculated volume = 379.43 Å³/cell; D(E_F) = 6.45 states/eV/f.u.
1.0
7.588 0.000 0.000
-3.794 6.572 0.000
0.000 0.000 7.608
Te Os
10 8
Direct
0.000 0.253 0.250
0.000 0.747 0.750
0.253 0.000 0.250
0.253 0.253 0.750
0.333 0.667 0.000
0.333 0.667 0.500
0.667 0.333 0.000
0.667 0.333 0.500
0.747 0.000 0.750
0.747 0.747 0.250
0.000 0.000 0.000
0.000 0.000 0.500
0.000 0.407 0.750
0.000 0.593 0.250
0.407 0.000 0.750
0.407 0.407 0.250
0.593 0.000 0.250
0.593 0.593 0.750



Entry 6:
Ca2CdTc, optimized geometry, DFT GGA-PBE; crystal system = tetragonal; SG = I-42d (122); formation energy = 72.2 kJ per mole of atoms; calculated volume = 196.76 Å³/cell; D(E_F) = 3.67 states/eV/f.u.
1.0
-2.186 2.186 10.291
2.186 -2.186 10.291
2.186 2.186 -10.291
Ca Cd Tc
4 2 2
Direct
0.111 0.625 0.986
0.375 0.361 0.486
0.639 0.125 0.014
0.875 0.889 0.514
0.250 0.750 0.500
0.500 0.500 0.000
0.000 0.000 0.000
0.750 0.250 0.500



Entry 7:
Ho12As3C5, optimized geometry, DFT GGA-PBE; crystal system = cubic; SG = Ia-3d (230); formation energy = -48.6 kJ per mole of atoms; calculated volume = 1804.49 Å³/cell; D(E_F) = 10.64 states/eV/f.u.
1.0
-7.669 7.669 7.669
7.669 -7.669 7.669
7.669 7.669 -7.669
Ho As C
48 12 20
Direct
0.024 0.205 0.118
0.024 0.319 0.905
0.087 0.705 0.681
0.087 0.882 0.405
0.095 0.618 0.413
0.095 0.976 0.681
0.118 0.024 0.205
0.118 0.595 0.913
0.181 0.205 0.587
0.181 0.476 0.595
0.205 0.118 0.024
0.205 0.587 0.181
0.295 0.319 0.913
0.295 0.476 0.382
0.319 0.905 0.024
0.319 0.913 0.295
0.382 0.295 0.476
0.382 0.587 0.905
0.405 0.087 0.882
0.405 0.819 0.524
0.413 0.095 0.618
0.413 0.819 0.795
0.476 0.382 0.295
0.476 0.595 0.181
0.524 0.405 0.819
0.524 0.618 0.705
0.587 0.181 0.205
0.587 0.905 0.382
0.595 0.181 0.476
0.595 0.913 0.118
0.618 0.413 0.095
0.618 0.705 0.524
0.681 0.087 0.705
0.681 0.095 0.976
0.705 0.524 0.618
0.705 0.681 0.087
0.795 0.413 0.819
0.795 0.882 0.976
0.819 0.524 0.405
0.819 0.795 0.413
0.882 0.405 0.087
0.882 0.976 0.795
0.905 0.024 0.319
0.905 0.382 0.587
0.913 0.118 0.595
0.913 0.295 0.319
0.976 0.681 0.095
0.976 0.795 0.882
0.125 0.250 0.375
0.125 0.375 0.750
0.250 0.375 0.125
0.250 0.875 0.625
0.375 0.125 0.250
0.375 0.750 0.125
0.625 0.250 0.875
0.625 0.875 0.750
0.750 0.125 0.375
0.750 0.625 0.875
0.875 0.625 0.250
0.875 0.750 0.625
0.000 0.000 0.000
0.000 0.000 0.500
0.000 0.500 0.000
0.000 0.500 0.500
0.125 0.750 0.875
0.125 0.875 0.250
0.250 0.125 0.875
0.250 0.625 0.375
0.375 0.250 0.625
0.375 0.625 0.750
0.500 0.000 0.000
0.500 0.000 0.500
0.500 0.500 0.000
0.500 0.500 0.500
0.625 0.375 0.250
0.625 0.750 0.375
0.750 0.375 0.625
0.750 0.875 0.125
0.875 0.125 0.750
0.875 0.250 0.125



Entry 8:
Be5Au, optimized geometry, DFT GGA-PBE; polymorph energy (0 for the lowest one) = 99 meV per atom; crystal system = orthorhombic; SG = Cmmm (65); formation energy = 0.2 kJ per mole of atoms; calculated volume = 59.20 Å³/cell; D(E_F) = 1.36 states/eV/f.u.
1.0
1.714 -5.184 0.000
1.714 5.184 0.000
0.000 0.000 3.332
Be Au
5 1
Direct
0.000 0.000 0.000
0.175 0.825 0.500
0.319 0.681 0.000
0.681 0.319 0.000
0.825 0.175 0.500
0.500 0.500 0.500



The lowest calculated volume belongs to which entry? Be5Au



Which of these has the highest calculated volume? Ho12As3C5



Number 1 is which compound? Tl2InPd2



Number 2 is which compound? Ac6Te3P2Pb